# LiV4Ru5

Crystalline LiV4Ru5 at its relaxed geometry (PBE, Alexandria).

Structure (POSCAR):
```
LiV4Ru5
1.0
-0.368 -1.514 -2.563
2.897 0.411 -0.658
3.403 -12.728 7.028
Ru Li V
5 1 4
Direct
0.500 0.500 0.500 Ru
0.500 0.500 0.101 Ru
0.500 0.500 0.299 Ru
0.500 0.500 0.701 Ru
0.500 0.500 0.899 Ru
0.000 0.000 0.000 Li
0.000 0.000 0.396 V
0.000 0.000 0.188 V
0.000 0.000 0.604 V
0.000 0.000 0.812 V
```

Summary:
The crystal system is tetragonal. As for the formation energy: -238 meV per atom. As for the space group: P4/mmm. The calculation puts the energy at -8.715 eV per atom. The calculation puts the density of states at the Fermi level at 6.20 states/eV/cell.